Below is TlPb2Cl at its PBEsol-relaxed geometry, with properties calculated at the meta-GGA SCAN level.

DOS at the Fermi energy in states/eV per atom: 0.3754
Energy above the most stable polymorph in this dataset in meV/atom: 0
Formation energy (no corrections) in meV per atom: -272
V in Å³ per atom: 27.1
Uncorrected energy in eV for the cell shown: -233.0

extended XYZ file:
```
4
Lattice="3.423 0.000 0.000 0.000 5.632 0.014 0.000 -0.041 5.631" Properties=species:S:1:pos:R:3 pbc="T T T"
Tl 1.712 0.000 0.000
Cl 1.712 2.795 2.823
Pb 0.000 2.816 0.007
Pb 0.000 -0.020 2.816
```

***

Below is PbWCl3 at its PBEsol-relaxed geometry, with properties calculated at the meta-GGA SCAN level.

DOS at the Fermi energy in states/eV per atom: 1.8792
Formation energy (no corrections) in meV per atom: 713
V in Å³ per atom: 32.4
Uncorrected energy in eV for the cell shown: -165.8

extended XYZ file:
```
5
Lattice="-4.192 0.308 -3.470 -2.670 -3.772 2.890 -2.238 3.922 3.052" Properties=species:S:1:pos:R:3 pbc="T T T"
Cl -1.119 1.961 1.526
Cl -2.096 0.154 -1.735
Cl -1.335 -1.886 1.445
Pb 0.000 0.000 0.000
W -4.550 0.229 1.236
```

***

Below is PbWCl at its PBEsol-relaxed geometry, with properties calculated at the meta-GGA SCAN level.

DOS at the Fermi energy in states/eV per atom: 1.6299
Energy above the most stable polymorph in this dataset in meV/atom: 1466
Formation energy (no corrections) in meV per atom: 1976
V in Å³ per atom: 21.9
Uncorrected energy in eV for the cell shown: -147.5

extended XYZ file:
```
3
Lattice="-3.691 -2.607 -0.323 0.305 -4.145 -1.804 -0.429 -3.657 2.640" Properties=species:S:1:pos:R:3 pbc="T T T"
Cl -2.861 -7.807 0.384
Pb 0.000 0.000 0.000
W -1.907 -5.204 0.256
```

***

Below is PbWCl at its PBEsol-relaxed geometry, with properties calculated at the meta-GGA SCAN level.

DOS at the Fermi energy in states/eV per atom: 0.7020
Energy above the most stable polymorph in this dataset in meV/atom: 0
Formation energy (no corrections) in meV per atom: 509
V in Å³ per atom: 21.6
Uncorrected energy in eV for the cell shown: -151.9

extended XYZ file:
```
3
Lattice="-2.643 0.825 1.229 -2.274 -2.105 0.257 1.357 -1.613 7.736" Properties=species:S:1:pos:R:3 pbc="T T T"
W -0.775 -0.588 6.196
Cl 1.181 -1.480 7.266
Pb -0.335 -0.334 3.238
```

***

Below is PbWCl2 at its PBEsol-relaxed geometry, with properties calculated at the meta-GGA SCAN level.

DOS at the Fermi energy in states/eV per atom: 0.4992
Formation energy (no corrections) in meV per atom: 93
V in Å³ per atom: 23.3
Uncorrected energy in eV for the cell shown: -161.1

extended XYZ file:
```
4
Lattice="2.995 0.000 0.000 -1.497 2.851 0.000 0.000 0.000 10.928" Properties=species:S:1:pos:R:3 pbc="T T T"
Cl 0.000 0.000 9.023
Cl 0.000 0.000 1.905
Pb 1.497 0.000 5.464
W 1.497 0.000 0.000
```

***

Below is YPb2Cl at its PBEsol-relaxed geometry, with properties calculated at the meta-GGA SCAN level.

DOS at the Fermi energy in states/eV per atom: 0.4637
Energy above the most stable polymorph in this dataset in meV/atom: 0
Formation energy (no corrections) in meV per atom: -838
V in Å³ per atom: 27.3
Uncorrected energy in eV for the cell shown: -190.7

extended XYZ file:
```
4
Lattice="-1.998 1.568 -2.467 1.044 -2.408 -2.376 -6.717 -5.090 2.206" Properties=species:S:1:pos:R:3 pbc="T T T"
Pb -0.224 -0.169 0.073
Pb -2.297 -1.799 -1.823
Cl -5.026 -3.867 -0.927
Y -3.483 -2.639 1.144
```